1.
! In3PbF | Alexandria | PBE | optimized geometry; values from VASP
! * space group: Pm-3m (221)
! * raw total energy: -2.655 eV per atom
! * energy above the lowest structure with this stoichiometry: 603 meV/atom
! * theoretical density: 4.15 Mg/m³
&SYSTEM
  ibrav = 0, nat = 5, ntyp = 3
/
ATOMIC_SPECIES
In 114.82 In.upf
Pb 207.20 Pb.upf
F 19.00 F.upf
ATOMIC_POSITIONS crystal
In 0.500 0.000 0.000
Pb 0.000 0.000 0.000
In 0.000 0.000 0.500
F 0.500 0.500 0.500
In 0.000 0.500 0.000
CELL_PARAMETERS angstrom
-3.709 4.583 1.614
-4.825 -3.237 -1.898
-0.569 -2.426 5.581

=====

2.
! InPb2F7 | Alexandria | PBE | optimized geometry; values from VASP
! * space group: P2_1/c (14)
! * raw total energy: -4.781 eV per atom
! * theoretical density: 7.14 Mg/m³
&SYSTEM
  ibrav = 0, nat = 40, ntyp = 3
/
ATOMIC_SPECIES
F 19.00 F.upf
Pb 207.20 Pb.upf
In 114.82 In.upf
ATOMIC_POSITIONS crystal
F 0.602 0.516 0.074
Pb 0.713 0.222 0.554
In 0.127 0.277 0.219
F 0.102 0.484 0.426
F 0.398 0.484 0.926
F 0.898 0.516 0.574
F 0.865 0.825 0.021
F 0.773 0.521 0.286
F 0.757 0.988 0.300
F 0.743 0.988 0.800
F 0.607 0.984 0.088
F 0.135 0.175 0.979
Pb 0.213 0.778 0.946
F 0.461 0.813 0.286
Pb 0.060 0.236 0.674
F 0.227 0.479 0.714
F 0.927 0.389 0.874
In 0.627 0.723 0.281
F 0.727 0.521 0.786
Pb 0.940 0.764 0.326
F 0.427 0.611 0.626
F 0.039 0.813 0.786
F 0.393 0.016 0.912
F 0.257 0.012 0.200
F 0.573 0.389 0.374
F 0.961 0.187 0.214
F 0.243 0.012 0.700
Pb 0.787 0.222 0.054
F 0.073 0.611 0.126
F 0.539 0.187 0.714
Pb 0.287 0.778 0.446
F 0.273 0.479 0.214
F 0.635 0.825 0.521
Pb 0.440 0.236 0.174
F 0.893 0.984 0.588
F 0.107 0.016 0.412
In 0.373 0.277 0.719
F 0.365 0.175 0.479
In 0.873 0.723 0.781
Pb 0.560 0.764 0.826
CELL_PARAMETERS angstrom
-2.248 5.140 11.230
-3.579 -4.304 1.253
6.491 -4.469 3.345

=====

3.
! In2PbF4 | Alexandria | PBE | optimized geometry; values from VASP
! * space group: I4/mmm (139)
! * raw total energy: -4.247 eV per atom
! * energy above the lowest structure with this stoichiometry: 137 meV/atom
! * theoretical density: 5.21 Mg/m³
&SYSTEM
  ibrav = 0, nat = 7, ntyp = 3
/
ATOMIC_SPECIES
In 114.82 In.upf
F 19.00 F.upf
Pb 207.20 Pb.upf
ATOMIC_POSITIONS crystal
In 0.649 0.649 0.703
F 0.000 0.500 0.000
F 0.817 0.817 0.366
In 0.351 0.351 0.297
Pb 0.000 0.000 0.000
F 0.183 0.183 0.634
F 0.500 0.000 0.000
CELL_PARAMETERS angstrom
4.904 0.000 0.000
0.000 4.904 0.000
2.452 2.452 6.792

=====

4.
! InPb2F5 | Alexandria | PBE | optimized geometry; values from VASP
! * space group: Cmcm (63)
! * raw total energy: -4.588 eV per atom
! * theoretical density: 5.29 Mg/m³
&SYSTEM
  ibrav = 0, nat = 16, ntyp = 3
/
ATOMIC_SPECIES
F 19.00 F.upf
Pb 207.20 Pb.upf
In 114.82 In.upf
ATOMIC_POSITIONS crystal
F 0.308 0.616 0.041
F 0.049 0.097 0.396
F 0.308 0.616 0.459
F 0.204 0.407 0.750
Pb 0.860 0.721 0.433
F 0.692 0.384 0.959
Pb 0.860 0.721 0.067
Pb 0.140 0.279 0.567
F 0.049 0.097 0.104
F 0.951 0.903 0.604
In 0.170 0.341 0.250
In 0.830 0.659 0.750
F 0.796 0.593 0.250
Pb 0.140 0.279 0.933
F 0.692 0.384 0.541
F 0.951 0.903 0.896
CELL_PARAMETERS angstrom
-0.070 -0.862 4.642
3.992 -4.551 -3.187
10.169 7.799 1.603

=====

5.
! InPbF4 | Alexandria | PBE | optimized geometry; values from VASP
! * space group: P2_1/c (14)
! * raw total energy: -4.516 eV per atom
! * theoretical density: 6.30 Mg/m³
&SYSTEM
  ibrav = 0, nat = 12, ntyp = 3
/
ATOMIC_SPECIES
F 19.00 F.upf
Pb 207.20 Pb.upf
In 114.82 In.upf
ATOMIC_POSITIONS crystal
F 0.699 0.689 0.655
F 0.801 0.189 0.345
Pb 0.000 0.000 0.000
F 0.301 0.311 0.345
F 0.144 0.345 0.828
F 0.856 0.655 0.172
In 0.500 0.000 0.500
Pb 0.500 0.500 0.000
F 0.199 0.811 0.655
In 0.000 0.500 0.500
F 0.356 0.845 0.172
F 0.644 0.155 0.828
CELL_PARAMETERS angstrom
-1.427 4.193 3.985
-5.674 -0.145 -1.880
-1.164 -4.311 3.844

=====

6.
! InPb2F | Alexandria | PBE | optimized geometry; values from VASP
! * space group: Fm-3m (225)
! * raw total energy: -3.591 eV per atom
! * energy above the lowest structure with this stoichiometry: 0 meV/atom
! * theoretical density: 9.36 Mg/m³
&SYSTEM
  ibrav = 0, nat = 4, ntyp = 3
/
ATOMIC_SPECIES
Pb 207.20 Pb.upf
In 114.82 In.upf
F 19.00 F.upf
ATOMIC_POSITIONS crystal
Pb 0.250 0.250 0.250
In 0.500 0.500 0.500
Pb 0.750 0.750 0.750
F 0.000 0.000 0.000
CELL_PARAMETERS angstrom
-4.496 -2.513 0.343
-1.778 -1.492 4.611
-4.114 2.340 2.061

=====

7.
! InPb2F6 | Alexandria | PBE | optimized geometry; values from VASP
! * space group: P4_2/mnm (136)
! * raw total energy: -4.606 eV per atom
! * theoretical density: 5.98 Mg/m³
&SYSTEM
  ibrav = 0, nat = 18, ntyp = 3
/
ATOMIC_SPECIES
Pb 207.20 Pb.upf
F 19.00 F.upf
In 114.82 In.upf
ATOMIC_POSITIONS crystal
Pb 0.500 0.500 0.835
Pb 0.000 0.000 0.335
F 0.709 0.709 0.000
F 0.813 0.187 0.845
F 0.313 0.313 0.655
F 0.209 0.791 0.500
F 0.687 0.687 0.655
Pb 0.000 0.000 0.665
F 0.187 0.813 0.845
Pb 0.500 0.500 0.165
F 0.291 0.291 0.000
In 0.500 0.500 0.500
F 0.813 0.187 0.155
In 0.000 0.000 0.000
F 0.791 0.209 0.500
F 0.187 0.813 0.155
F 0.687 0.687 0.345
F 0.313 0.313 0.345
CELL_PARAMETERS angstrom
-3.403 -4.319 0.944
4.346 -3.487 -0.288
1.672 1.152 11.296

=====

8.
! InPbF3 | Alexandria | PBE | optimized geometry; values from VASP
! * space group: Pm-3m (221)
! * raw total energy: -4.376 eV per atom
! * theoretical density: 5.55 Mg/m³
&SYSTEM
  ibrav = 0, nat = 5, ntyp = 3
/
ATOMIC_SPECIES
F 19.00 F.upf
Pb 207.20 Pb.upf
In 114.82 In.upf
ATOMIC_POSITIONS crystal
F 0.500 0.000 0.000
Pb 0.000 0.000 0.000
In 0.500 0.500 0.500
F 0.000 0.000 0.500
F 0.000 0.500 0.000
CELL_PARAMETERS angstrom
-3.016 0.588 3.742
-2.842 -3.513 -1.738
2.504 -3.279 2.534

=====

- The highest theoretical density belongs to which entry?
  InPb2F